This record from Alexandria describes RbTl3Ni2F9 after structural relaxation. The functional is GGA+U.

The calculation puts the mass density at 6.28 g cm⁻³. The electronic total energy comes out at -4.005 eV/atom.

The structure belongs to space group P-3m1 (No. 164); the cell edges are 5.9234, 5.9234 and 8.5936 Å and the angles 90.00°, 90.00° and 120.00°. Symmetry generates all atoms from Rb at (0.0000, 0.0000, 0.0000), Tl at (0.0000, 0.0000, 0.5000), Tl at (0.3333, 0.6667, 0.2310), Ni at (0.3333, 0.6667, 0.6364), F at (0.0000, 0.5000, 0.5000) and F at (0.1660, 0.3320, 0.7485).